Here is an optimized crystal structure of Mg2As2W from Alexandria via LeMat-Bulk. Energies are from GGA-PBE.

POSCAR file:
```
Mg2As2W
1.0
6.6641 0.0000 0.0000
0.0000 6.6641 0.0000
0.0000 0.0000 4.0066
Mg As W
4 4 2
direct
0.1708 0.6708 0.5000
0.8292 0.3292 0.5000
0.3292 0.1708 0.5000
0.6708 0.8292 0.5000
0.1420 0.3580 0.0000
0.8580 0.6420 0.0000
0.3580 0.8580 0.0000
0.6420 0.1420 0.0000
0.0000 0.0000 0.0000
0.5000 0.5000 0.0000
```

E_tot   -5.176 eV per atom
Volume   89.0 Å³/f.u.
Magnetic moment   0.000 μB per formula unit
ΔH_f (0 K)   -88 meV per atom

Here is an optimized crystal structure of DyCuRh from Alexandria via LeMat-Bulk. Energies are from GGA-PBE.

POSCAR file:
```
DyCuRh
1.0
-0.1028 3.0532 1.5700
-3.3989 0.1310 -0.4773
1.1127 -3.6586 3.4305
Dy Cu Rh
1 1 1
direct
0.9468 0.9468 0.8937
0.6325 0.6325 0.2650
0.2707 0.2707 0.5413
```

E_tot   -5.764 eV per atom
Volume   53.4 Å³/f.u.
Magnetic moment   0.000 μB per formula unit
Relative energy among the computed polymorphs   0.152 eV per atom
ΔH_f (0 K)   -414 meV per atom

Here is an optimized crystal structure of LiMgTi2Sn from Alexandria via LeMat-Bulk. Energies are from GGA-PBE.

POSCAR file:
```
LiMgTi2Sn
1.0
-2.6230 -4.1407 0.4666
3.6238 -2.5744 -2.4747
2.2502 -0.9436 4.2766
Li Ti Sn Mg
1 2 1 1
direct
0.5000 0.5000 0.5000
0.0000 0.0000 0.5000
0.5000 0.0000 0.0000
0.0000 0.5000 0.0000
0.0000 0.0000 0.0000
```

E_tot   -3.631 eV per atom
Volume   123.3 Å³/f.u.
Magnetic moment   1.156 μB per formula unit
ΔH_f (0 K)   1029 meV per atom

Here is an optimized crystal structure of Pu2UNi from Alexandria via LeMat-Bulk. Energies are from GGA-PBE.

POSCAR file:
```
Pu2UNi
1.0
4.4253 0.0000 0.0000
2.2126 3.8324 0.0000
2.2126 1.2775 4.9037
Pu Ni U
2 1 1
direct
0.1603 0.1603 0.5192
0.8397 0.8397 0.4808
0.5000 0.5000 0.5000
0.0000 0.0000 0.0000
```

E_tot   -10.880 eV per atom
Volume   83.2 Å³/f.u.
Magnetic moment   0.000 μB per formula unit
Relative energy among the computed polymorphs   0.468 eV per atom
ΔH_f (0 K)   553 meV per atom